1.
DFT (PBE) results for Pu2Ga3Co after structural relaxation.

The total magnetization is 0.00 μB/atom. The calculation puts the volume at 227.8 Å³/cell. As for the formation energy: -0.283 eV/atom.

a = 9.987 Å, b = 4.382 Å, c = 6.832 Å
α = 90.00°, β = 130.36°, γ = 90.00°
Space group Cm (No. 8)
Unique sites:
Pu: 0.000 0.000 0.000 [2 per cell]
Pu: 0.101 0.000 0.602 [2 per cell]
Ga: 0.195 0.500 0.985 [2 per cell]
Ga: 0.225 0.500 0.418 [2 per cell]
Ga: 0.380 0.000 0.208 [2 per cell]
Co: 0.379 0.000 0.606 [2 per cell]

---

2.
DFT (PBE) results for Ce3PrPb4 after structural relaxation.

The total magnetization is 0.51 μB/atom. The calculation puts the volume at 239.9 Å³/cell. The value obtained for the energy above the most stable polymorph in this dataset is 0.000 eV per atom. As for the formation energy: -0.427 eV/atom.

a = 4.572 Å, b = 5.118 Å, c = 10.250 Å
α = 90.00°, β = 90.00°, γ = 90.00°
Space group Pmmm (No. 47)
Unique sites:
Ce: 0.000 0.000 0.000 [1 per cell]
Ce: 0.000 0.500 0.246 [2 per cell]
Pr: 0.000 0.000 0.500 [1 per cell]
Pb: 0.500 0.000 0.248 [2 per cell]
Pb: 0.500 0.500 0.000 [1 per cell]
Pb: 0.500 0.500 0.500 [1 per cell]

---

3.
DFT (PBE) results for RbAg2Hg2 after structural relaxation.

The total magnetization is 0.00 μB/atom. The calculation puts the volume at 294.4 Å³/cell. The value obtained for the energy above the most stable polymorph in this dataset is 0.000 eV per atom. As for the formation energy: -0.049 eV/atom.

a = 5.171 Å, b = 5.171 Å, c = 11.011 Å
α = 90.00°, β = 90.00°, γ = 90.00°
Space group I4/mmm (No. 139)
Unique sites:
Rb: 0.000 0.000 0.000 [2 per cell]
Ag: 0.000 0.000 0.375 [4 per cell]
Hg: 0.000 0.500 0.250 [4 per cell]